# 1
# Fe3C

A relaxed Fe3C crystal (PBE-GGA, Alexandria).

Values from the calculation:
space-group type: Pm-3m (221)
E_form: 219 kJ/mol of formula units
uncorrected energy: -0.2971 hartree per atom
total magnetization: 5.98 Bohr magnetons per cell
density of states at the Fermi level: 3.3 states/eV per cell

```
4
Lattice="3.747 0.000 0.000 0.000 3.747 0.000 0.000 0.000 3.747" Properties=species:S:1:pos:R:3 pbc="T T T"
Fe 0.000 1.874 0.000
Fe 0.000 0.000 1.874
Fe 1.874 0.000 0.000
C 0.000 0.000 0.000
```

***

# 2
# BeCr4Hg

A relaxed BeCr4Hg crystal (PBE-GGA, Alexandria).

Values from the calculation:
space-group type: F-43m (216)
E_form: 347 kJ/mol of formula units
uncorrected energy: -0.2384 hartree per atom
total magnetization: 0.00 Bohr magnetons per cell
density of states at the Fermi level: 6.9 states/eV per cell

```
6
Lattice="0.000 3.406 3.406 3.406 0.000 3.406 3.406 3.406 0.000" Properties=species:S:1:pos:R:3 pbc="T T T"
Cr 4.273 4.273 2.539
Cr 2.539 2.539 2.539
Cr 2.539 4.273 4.273
Cr 4.273 2.539 4.273
Be 0.000 0.000 0.000
Hg 5.109 5.109 5.109
```

***

# 3
# Ac4Ge2Cl

A relaxed Ac4Ge2Cl crystal (PBE-GGA, Alexandria).

Values from the calculation:
formation energy (no corrections): -3.64 eV/f.u.
energy above the lowest structure with this stoichiometry: 345 meV/atom
space-group type: I4/mmm (139)
uncorrected energy: -0.1636 hartree per atom
total magnetization: 0.00 Bohr magnetons per cell
density of states at the Fermi level: 6.5 states/eV per cell

```
7
Lattice="-4.018 -3.474 1.377 2.287 -3.885 -3.128 5.358 1.071 7.399" Properties=species:S:1:pos:R:3 pbc="T T T"
Ac 1.959 -5.320 3.228
Ac 1.667 -0.968 2.421
Ac 1.143 -1.943 -1.564
Ac -2.009 -1.737 0.689
Ge 3.355 -1.948 4.873
Ge 0.271 -4.340 0.776
Cl 0.000 0.000 0.000
```

***

# 4
# Pm3Er4Tl4

A relaxed Pm3Er4Tl4 crystal (PBE-GGA, Alexandria).

Values from the calculation:
space-group type: Immm (71)
E_form: -246 kJ/mol of formula units
uncorrected energy: -0.1487 hartree per atom
total magnetization: 1.52 Bohr magnetons per cell
density of states at the Fermi level: 11.0 states/eV per cell

```
11
Lattice="-0.172 3.403 1.705 -4.975 -3.959 7.399 10.311 -1.469 -0.284" Properties=species:S:1:pos:R:3 pbc="T T T"
Er 4.143 -1.960 4.330
Er 6.149 -0.364 1.347
Er 1.021 -0.065 4.490
Er -0.985 -1.661 7.473
Tl -3.964 -1.384 6.619
Tl 1.415 -2.861 5.852
Tl 3.749 0.835 2.968
Tl -1.184 0.828 2.485
Pm 1.588 -0.359 0.876
Pm -2.488 -1.979 3.699
Pm 3.575 -1.667 7.944
```

***

# 5
# Al2MoRu

A relaxed Al2MoRu crystal (PBE-GGA, Alexandria).

Values from the calculation:
energy above the lowest structure with this stoichiometry: 395 meV/atom
space-group type: Cmm2 (35)
E_form: 5 kJ/mol of formula units
uncorrected energy: -0.2530 hartree per atom
total magnetization: 0.00 Bohr magnetons per cell
density of states at the Fermi level: 4.4 states/eV per cell

```
4
Lattice="-0.078 -1.921 -1.977 2.190 -0.285 1.652 -4.610 -5.182 5.218" Properties=species:S:1:pos:R:3 pbc="T T T"
Al -0.119 -2.424 1.168
Al -4.542 -5.106 5.141
Ru -2.416 -5.006 3.767
Mo -2.336 -2.626 2.644
```

***

# 6
# Nb2CdSn2

A relaxed Nb2CdSn2 crystal (PBE-GGA, Alexandria).

Values from the calculation:
energy above the lowest structure with this stoichiometry: 96 meV/atom
space-group type: P4/mbm (127)
E_form: 76 kJ/mol of formula units
uncorrected energy: -0.2078 hartree per atom
total magnetization: 0.00 Bohr magnetons per cell
density of states at the Fermi level: 5.4 states/eV per cell

```
10
Lattice="-4.776 0.858 6.968 5.278 -5.118 4.248 1.670 2.425 0.846" Properties=species:S:1:pos:R:3 pbc="T T T"
Nb 3.531 -1.832 3.825
Nb -1.359 -0.003 8.238
Nb -0.408 0.961 3.597
Nb 2.580 -2.796 8.465
Cd 0.251 -2.130 5.608
Cd 0.000 0.000 0.000
Sn -0.354 -2.761 8.610
Sn -2.299 -0.327 5.474
Sn 2.801 -3.933 5.743
Sn 0.855 -1.499 2.607
```

***

# 7
# EuPuSiAu

A relaxed EuPuSiAu crystal (PBE-GGA, Alexandria).

Values from the calculation:
formation energy (no corrections): -1.61 eV/f.u.
space-group type: F-43m (216)
uncorrected energy: -0.3208 hartree per atom
total magnetization: 1.56 Bohr magnetons per cell
density of states at the Fermi level: 20.5 states/eV per cell

```
4
Lattice="-4.971 -1.094 0.835 -1.447 -2.203 4.434 -2.690 2.710 3.468" Properties=species:S:1:pos:R:3 pbc="T T T"
Si -6.831 -0.440 6.553
Pu 0.000 0.000 0.000
Au -2.277 -0.147 2.184
Eu -4.554 -0.293 4.369
```

***

# 8
# ZrCr4Ag

A relaxed ZrCr4Ag crystal (PBE-GGA, Alexandria).

Values from the calculation:
space-group type: F-43m (216)
E_form: 162 kJ/mol of formula units
uncorrected energy: -0.2953 hartree per atom
total magnetization: 0.00 Bohr magnetons per cell
density of states at the Fermi level: 10.0 states/eV per cell

```
6
Lattice="0.156 0.162 4.963 -2.157 3.757 2.432 -4.130 -0.798 2.642" Properties=species:S:1:pos:R:3 pbc="T T T"
Cr -2.304 1.173 3.771
Cr -2.226 1.253 6.238
Cr -4.357 0.776 5.085
Cr -3.376 3.040 4.980
Zr -4.599 2.341 7.528
Ag 0.000 0.000 0.000
```

***

# 9
# GdSc2Be

A relaxed GdSc2Be crystal (PBE-GGA, Alexandria).

Values from the calculation:
energy above the lowest structure with this stoichiometry: 285 meV/atom
space-group type: R-3m (166)
E_form: 123 kJ/mol of formula units
uncorrected energy: -0.2682 hartree per atom
total magnetization: 7.81 Bohr magnetons per cell
density of states at the Fermi level: 5.0 states/eV per cell

```
4
Lattice="-2.565 -1.027 1.766 0.481 -1.827 2.681 -0.178 7.478 7.133" Properties=species:S:1:pos:R:3 pbc="T T T"
Gd 0.000 0.000 0.000
Sc -1.919 -0.148 6.261
Sc -0.344 4.773 5.319
Be -1.131 2.313 5.790
```

***

# 10
# Ti2VMoRh

A relaxed Ti2VMoRh crystal (PBE-GGA, Alexandria).

Values from the calculation:
space-group type: P4/mmm (123)
E_form: 382 kJ/mol of formula units
uncorrected energy: -0.2876 hartree per atom
total magnetization: 0.00 Bohr magnetons per cell
density of states at the Fermi level: 5.4 states/eV per cell

```
5
Lattice="4.467 0.000 0.000 0.000 4.350 0.000 0.000 0.000 4.467" Properties=species:S:1:pos:R:3 pbc="T T T"
Ti 0.000 0.000 2.233
Ti 2.233 0.000 0.000
V 0.000 0.000 0.000
Rh 0.000 2.175 0.000
Mo 2.233 2.175 2.233
```

***

Question: The lowest uncorrected energy belongs to which entry?
Answer: EuPuSiAu

***

Question: Which value of density of states at the Fermi level does entry 9 give?
Answer: 5.0 states/eV per cell

***

Question: The highest uncorrected energy belongs to which entry?
Answer: Pm3Er4Tl4

***

Question: Look up the uncorrected energy of the fourth one.
Answer: -0.1487 hartree per atom